Computed, not measured: a relaxed structure of Ba2TmVO6 at the GGA+U level of DFT.

Cell: 5.9570 5.9570 5.5727 Å, 90.00 90.00 120.00°
Last column: nearest neighbours and their distance in Å.
Atoms (fractional coordinates):
Ba: 0.3333 0.6667 0.1468  9 O 2.75-3.00
Ba: 0.6667 0.3333 0.8532  9 O 2.75-3.00
Tm: 0.0000 0.0000 0.5000  6 O 2.23
V: 0.0000 0.0000 0.0000  6 O 1.92
O: 0.1483 0.2966 0.7913  1 V 1.92
O: 0.1483 0.8517 0.7913  1 V 1.92
O: 0.2966 0.1483 0.2087  1 V 1.92
O: 0.7034 0.8517 0.7913  1 V 1.92
O: 0.8517 0.1483 0.2087  1 V 1.92
O: 0.8517 0.7034 0.2087  1 V 1.92

Energy (eV/cell): -71.66

***

Computed, not measured: a relaxed structure of Ba3TmV2O9 at the GGA+U level of DFT.

Cell: 5.8024 5.8024 7.1062 Å, 90.00 90.00 120.00°
Last column: nearest neighbours and their distance in Å.
Atoms (fractional coordinates):
Ba: 0.0000 0.0000 0.0000  12 O 2.87-2.90
Ba: 0.3333 0.6667 0.6785  12 O 2.83-3.02
Ba: 0.6667 0.3333 0.3215  12 O 2.83-3.02
Tm: 0.0000 0.0000 0.5000  6 O 2.21
V: 0.3333 0.6667 0.1652  6 O 1.90-2.05
V: 0.6667 0.3333 0.8348  6 O 1.90-2.05
O: 0.0000 0.5000 0.0000  2 V 2.05
O: 0.1774 0.3549 0.3160  1 V 1.90
O: 0.1774 0.8226 0.3160  1 V 1.90
O: 0.3549 0.1774 0.6840  1 V 1.90
O: 0.5000 0.0000 0.0000  2 V 2.05
O: 0.5000 0.5000 0.0000  2 V 2.05
O: 0.6451 0.8226 0.3160  1 V 1.90
O: 0.8226 0.1774 0.6840  1 V 1.90
O: 0.8226 0.6451 0.6840  1 V 1.90

Energy (eV/cell): -109.39

***

Computed, not measured: a relaxed structure of BaTmVO4 at the GGA+U level of DFT.

Cell: 6.4143 6.4143 6.4143 Å, 60.00 60.00 60.00°
Last column: nearest neighbours and their distance in Å.
Atoms (fractional coordinates):
Ba: 0.0000 0.0000 0.0000  12 O 3.78, 4 Tm 3.93
Tm: 0.7500 0.7500 0.7500  4 O 2.05
V: 0.5000 0.5000 0.5000  4 O 1.88
O: 0.1405 0.6198 0.6198  1 V 1.88, 1 Tm 2.05
O: 0.6198 0.1405 0.6198  1 V 1.88, 1 Tm 2.05
O: 0.6198 0.6198 0.1405  1 V 1.88, 1 Tm 2.05
O: 0.6198 0.6198 0.6198  1 V 1.88, 1 Tm 2.05

Energy (eV/cell): -49.51